A geometry-optimized CaAcPtO6 structure. Source: the Alexandria database, functional GGA-PBE.

Computed properties:
Its density of states at the Fermi level is 5.9 states/eV per cell. Its space group is P312 (149). The value obtained for the uncorrected formation energy is -1.66 eV/atom. The value obtained for the theoretical density is 6.51 Mg/m³.

Unit cell a=5.6366 b=5.6366 c=5.1779 alpha=90.00 beta=90.00 gamma=120.00
With the nearest neighbours (Å) after each atom.
Fractional positions:
Ca 0.0000 0.0000 0.0000  6 O 2.31
Ac 0.6667 0.3333 0.5000  6 O 2.51
Pt 0.3333 0.6667 0.0000  6 O 1.96
O 0.0493 0.3809 0.2170  1 Pt 1.96
O 0.0493 0.6684 0.7830  1 Pt 1.96
O 0.3316 0.3809 0.7830  1 Pt 1.96
O 0.3316 0.9507 0.2170  1 Pt 1.96
O 0.6191 0.6684 0.2170  1 Pt 1.96
O 0.6191 0.9507 0.7830  1 Pt 1.96



A geometry-optimized NpRh3 structure. Source: the Alexandria database, functional GGA-PBE.

Computed properties:
The electronic total energy comes out at -9.07 eV/atom. Its density of states at the Fermi level is 8.9 states/eV per cell. Its space group is I4/mmm (139). The value obtained for the theoretical density is 13.84 Mg/m³.

Unit cell a=4.8926 b=4.8926 c=4.8926 alpha=130.89 beta=130.89 gamma=72.00
With the nearest neighbours (Å) after each atom.
Fractional positions:
Np 0.0000 0.0000 0.0000  12 Rh 2.84-2.88
Rh 0.2500 0.7500 0.5000  8 Rh 2.84-2.88, 4 Np 2.84
Rh 0.5000 0.5000 0.0000  8 Rh 2.84, 4 Np 2.88
Rh 0.7500 0.2500 0.5000  8 Rh 2.84-2.88, 4 Np 2.84



A geometry-optimized Y3TlIr structure. Source: the Alexandria database, functional GGA-PBE.

Computed properties:
Its distance to the lowest polymorph of the same formula is 0 meV/atom. Its density of states at the Fermi level is 7.4 states/eV per cell. Its space group is P-1 (2). The value obtained for the theoretical density is 8.12 Mg/m³.

Unit cell a=5.5957 b=6.5029 c=8.5987 alpha=99.03 beta=102.09 gamma=113.09
With the nearest neighbours (Å) after each atom.
Fractional positions:
Y 0.0517 0.1712 0.3011  2 Ir 2.81-3.09
Y 0.3021 0.8224 0.1078  3 Ir 2.89-2.91
Y 0.3158 0.4622 0.7599  2 Ir 2.79-2.81
Y 0.6842 0.5378 0.2401  2 Ir 2.79-2.81
Y 0.6979 0.1776 0.8922  3 Ir 2.89-2.91
Y 0.9483 0.8288 0.6989  2 Ir 2.81-3.09
Tl 0.3299 0.7419 0.4754  1 Tl 3.05, 6 Y 3.27-3.37
Tl 0.6701 0.2581 0.5246  1 Tl 3.05, 6 Y 3.27-3.37
Ir 0.2378 0.1946 0.9872  7 Y 2.79-3.09, 1 Ir 2.94
Ir 0.7622 0.8054 0.0128  7 Y 2.79-3.09, 1 Ir 2.94



A geometry-optimized Ca3YIr structure. Source: the Alexandria database, functional GGA-PBE.

Computed properties:
Its distance to the lowest polymorph of the same formula is 0 meV/atom. Its density of states at the Fermi level is 4.7 states/eV per cell. Its space group is Pm-3m (221). The value obtained for the theoretical density is 3.95 Mg/m³.

Unit cell a=5.5264 b=5.5264 c=5.5264 alpha=90.00 beta=90.00 gamma=90.00
With the nearest neighbours (Å) after each atom.
Fractional positions:
Ca 0.0000 0.0000 0.5000  2 Ir 2.76
Ca 0.0000 0.5000 0.0000  2 Ir 2.76
Ca 0.5000 0.0000 0.0000  2 Ir 2.76
Y 0.5000 0.5000 0.5000  12 Ca 3.91
Ir 0.0000 0.0000 0.0000  6 Ca 2.76